Record 1
A relaxed structure of Th4InFe. Source: the Alexandria database, functional PBE.

Cell and atoms, written as extended XYZ:
```
12
Lattice="4.4897 -6.3872 0.0000 4.4897 6.3872 0.0000 -1.9019 0.0000 5.7682" Properties=species:S:1:pos:R:3 pbc="T T T"
Th 1.6757 4.2621 5.4435
Th 1.3661 1.2432 3.6285
Th 4.4508 4.2621 3.2088
Th 2.3171 -1.2432 0.7444
Th 4.7604 1.2432 5.0238
Th 2.6267 -4.2621 2.5594
Th 5.7114 -1.2432 2.1397
Th 5.4017 -4.2621 0.3247
In 4.0142 1.4739 1.4420
In 3.0633 -1.4739 4.3261
Fe 4.0142 6.3570 1.4420
Fe 3.0633 -6.3570 4.3261
```

## Properties
VASP energy = -0.5071 Ry per atom
space-group type = C2/c
ΔE_f = -8 kJ per mole of atoms

Record 2
A relaxed structure of Th7In2Fe2. Source: the Alexandria database, functional PBE.

Cell and atoms, written as extended XYZ:
```
11
Lattice="-1.8229 8.2799 5.0459 1.8229 -8.2799 5.0459 1.8229 8.2799 -5.0459" Properties=species:S:1:pos:R:3 pbc="T T T"
Th 0.0000 0.0000 0.0000
Th 1.8229 5.8510 -0.5515
Th 1.8229 2.9250 1.4193
Th 0.0000 2.4289 4.4944
Th 0.0000 5.6374 2.7983
Th 0.0000 10.9224 2.7983
Th 0.0000 5.3549 6.4652
In 1.8229 0.0000 2.9222
In 0.0000 0.0000 6.7491
Fe 1.8229 -4.5702 4.5825
Fe 1.8229 4.5702 4.5825
```

## Properties
VASP energy = -0.5050 Ry per atom
space-group type = Imm2
ΔE_f = -11 kJ per mole of atoms

Record 3
A relaxed structure of ThInFe4. Source: the Alexandria database, functional PBE.

Cell and atoms, written as extended XYZ:
```
6
Lattice="0.0000 3.6465 3.6465 3.6465 0.0000 3.6465 3.6465 3.6465 0.0000" Properties=species:S:1:pos:R:3 pbc="T T T"
Th 0.0000 0.0000 0.0000
In 1.8232 1.8232 1.8232
Fe 4.5621 2.7309 2.7309
Fe 2.7309 4.5621 2.7309
Fe 2.7309 2.7309 4.5621
Fe 4.5621 4.5621 4.5621
```

## Properties
VASP energy = -0.5394 Ry per atom
space-group type = F-43m
ΔE_f = 0 kJ per mole of atoms

Record 4
A relaxed structure of Th2InFe. Source: the Alexandria database, functional PBE.

Cell and atoms, written as extended XYZ:
```
4
Lattice="1.9431 1.1219 9.7604 -1.9431 1.1219 9.7604 0.0000 -2.2437 9.7604" Properties=species:S:1:pos:R:3 pbc="T T T"
Th 0.0000 0.0000 3.4192
Th 0.0000 0.0000 25.8619
In 0.0000 0.0000 0.0000
Fe 0.0000 0.0000 14.6406
```

## Properties
VASP energy = -0.4689 Ry per atom
space-group type = R-3m
ΔE_f = 13 kJ per mole of atoms

Record 5
A relaxed structure of TiInFe2. Source: the Alexandria database, functional PBE.

Cell and atoms, written as extended XYZ:
```
4
Lattice="3.0473 0.0000 0.0000 0.0000 3.0473 0.0000 0.0000 0.0000 6.0745" Properties=species:S:1:pos:R:3 pbc="T T T"
Ti 0.0000 0.0000 0.0000
In 0.0000 0.0000 3.0372
Fe 1.5236 1.5236 1.3556
Fe 1.5236 1.5236 4.7189
```

## Properties
VASP energy = -0.5088 Ry per atom
space-group type = P4/mmm
ΔE_f = -3 kJ per mole of atoms

Record 6
A relaxed structure of TiInFe3. Source: the Alexandria database, functional PBE.

Cell and atoms, written as extended XYZ:
```
5
Lattice="4.5457 0.0000 0.0000 0.0000 4.5457 0.0000 0.0000 0.0000 4.5457" Properties=species:S:1:pos:R:3 pbc="T T T"
Ti 0.0000 0.0000 0.0000
In 2.2729 2.2729 2.2729
Fe 0.0000 2.2729 2.2729
Fe 2.2729 0.0000 2.2729
Fe 2.2729 2.2729 0.0000
```

## Properties
VASP energy = -0.3870 Ry per atom
space-group type = Pm-3m
ΔE_f = 187 kJ per mole of atoms

Record 7
A relaxed structure of Ti4InFe. Source: the Alexandria database, functional PBE.

Cell and atoms, written as extended XYZ:
```
12
Lattice="6.9306 -2.8959 0.0000 6.9306 2.8959 0.0000 -0.6560 0.0000 5.1726" Properties=species:S:1:pos:R:3 pbc="T T T"
Ti 1.4721 0.4333 0.8525
Ti 1.1441 -0.4333 3.4388
Ti 4.0853 0.5860 2.2819
Ti 3.7573 -0.5860 4.8682
Ti 9.4480 0.5860 0.3044
Ti 9.1200 -0.5860 2.8907
Ti 12.0612 0.4333 1.7338
Ti 11.7332 -0.4333 4.3201
In 6.7667 0.7638 1.2932
In 6.4387 -0.7638 3.8795
Fe 3.4653 1.4480 0.0000
Fe 3.1373 -1.4480 2.5863
```

## Properties
VASP energy = -0.5247 Ry per atom
space-group type = C2/c
ΔE_f = -1 kJ per mole of atoms

Record 8
A relaxed structure of TiInFe2. Source: the Alexandria database, functional PBE.

Cell and atoms, written as extended XYZ:
```
8
Lattice="-1.9183 1.9183 9.1230 1.9183 -1.9183 9.1230 1.9183 1.9183 -9.1230" Properties=species:S:1:pos:R:3 pbc="T T T"
Ti 0.0000 0.0000 0.0000
Ti 0.0000 1.9183 4.5615
In 1.9183 0.0000 4.5615
In 0.0000 0.0000 9.1230
Fe 2.8774 0.8632 -2.2808
Fe 0.8632 0.9591 2.2808
Fe -0.9591 1.0551 6.8423
Fe 1.0551 0.9591 11.4038
```

## Properties
VASP energy = -0.4691 Ry per atom
space-group type = I-42d
ΔE_f = 49 kJ per mole of atoms

Record 9
A relaxed structure of TiInFe3. Source: the Alexandria database, functional PBE.

Cell and atoms, written as extended XYZ:
```
5
Lattice="4.3849 0.0000 0.0000 0.0000 4.3849 0.0000 0.0000 0.0000 4.3849" Properties=species:S:1:pos:R:3 pbc="T T T"
Ti 0.0000 0.0000 0.0000
In 2.1925 2.1925 2.1925
Fe 0.0000 0.0000 2.1925
Fe 0.0000 2.1925 0.0000
Fe 2.1925 0.0000 0.0000
```

## Properties
VASP energy = -0.4612 Ry per atom
space-group type = Pm-3m
ΔE_f = 90 kJ per mole of atoms

Record 10
A relaxed structure of TiInFe. Source: the Alexandria database, functional PBE.

Cell and atoms, written as extended XYZ:
```
3
Lattice="-1.5697 1.5697 4.9361 1.5697 -1.5697 4.9361 1.5697 1.5697 -4.9361" Properties=species:S:1:pos:R:3 pbc="T T T"
Ti 0.0000 0.0000 0.0000
In 0.0000 0.0000 6.9375
Fe 0.0000 0.0000 3.7684
```

## Properties
VASP energy = -0.4752 Ry per atom
space-group type = I4mm
ΔE_f = -10 kJ per mole of atoms

Record 11
A relaxed structure of Ti5In4Fe. Source: the Alexandria database, functional PBE.

Cell and atoms, written as extended XYZ:
```
10
Lattice="-4.6211 4.6211 2.2678 4.6211 -4.6211 2.2678 4.6211 4.6211 -2.2678" Properties=species:S:1:pos:R:3 pbc="T T T"
Ti 0.0000 0.0000 0.0000
Ti 2.9922 2.9922 0.0000
Ti 1.6289 -1.6289 2.2678
Ti -1.6289 1.6289 2.2678
Ti 1.6289 1.6289 2.2678
In 2.9129 0.0000 0.0000
In 6.3292 0.0000 0.0000
In 0.0000 2.9129 0.0000
In 0.0000 6.3292 0.0000
Fe 0.0000 0.0000 2.2678
```

## Properties
VASP energy = -0.4353 Ry per atom
space-group type = I4/mmm
ΔE_f = -3 kJ per mole of atoms

Record 12
A relaxed structure of TlIn2Fe. Source: the Alexandria database, functional PBE.

Cell and atoms, written as extended XYZ:
```
4
Lattice="1.6541 0.9550 9.6185 -1.6541 0.9550 9.6185 0.0000 -1.9100 9.6185" Properties=species:S:1:pos:R:3 pbc="T T T"
Tl 0.0000 0.0000 0.0000
In 0.0000 0.0000 6.8039
In 0.0000 0.0000 22.0515
Fe 0.0000 0.0000 14.4277
```

## Properties
VASP energy = -0.2768 Ry per atom
space-group type = R-3m
ΔE_f = 30 kJ per mole of atoms

Record 13
A relaxed structure of TlInFe2. Source: the Alexandria database, functional PBE.

Cell and atoms, written as extended XYZ:
```
4
Lattice="-2.0050 2.0050 4.3226 2.0050 -2.0050 4.3226 2.0050 2.0050 -4.3226" Properties=species:S:1:pos:R:3 pbc="T T T"
Tl 0.0000 0.0000 0.0000
In 0.0000 2.0050 2.1613
Fe 2.0050 0.0000 2.1613
Fe 0.0000 0.0000 4.3226
```

## Properties
VASP energy = -0.3659 Ry per atom
space-group type = I-4m2
ΔE_f = 51 kJ per mole of atoms

Record 14
A relaxed structure of TlInFe2. Source: the Alexandria database, functional PBE.

Cell and atoms, written as extended XYZ:
```
4
Lattice="3.1163 0.0000 0.0000 0.0000 3.1163 0.0000 0.0000 0.0000 7.7159" Properties=species:S:1:pos:R:3 pbc="T T T"
Tl 0.0000 0.0000 0.0000
In 1.5581 1.5581 4.8917
Fe 0.0000 0.0000 3.1307
Fe 1.5581 1.5581 2.0145
```

## Properties
VASP energy = -0.3801 Ry per atom
space-group type = P4mm
ΔE_f = 32 kJ per mole of atoms

Record 15
A relaxed structure of TlInFe2. Source: the Alexandria database, functional PBE.

Cell and atoms, written as extended XYZ:
```
8
Lattice="-3.6986 3.6986 2.8826 3.6986 -3.6986 2.8826 3.6986 3.6986 -2.8826" Properties=species:S:1:pos:R:3 pbc="T T T"
Tl 0.0000 0.0000 0.0000
Tl 0.0000 3.6986 1.4413
In 3.6986 0.0000 1.4413
In 0.0000 0.0000 2.8826
Fe 1.8493 -1.8248 2.1620
Fe 1.8738 1.8493 0.7207
Fe 1.8493 5.5234 -0.7207
Fe 1.8248 1.8493 3.6033
```

## Properties
VASP energy = -0.3500 Ry per atom
space-group type = I-42d
ΔE_f = 72 kJ per mole of atoms

Record 16
A relaxed structure of Tl3InFe. Source: the Alexandria database, functional PBE.

Cell and atoms, written as extended XYZ:
```
5
Lattice="5.1534 0.0000 0.0000 0.0000 5.1534 0.0000 0.0000 0.0000 5.1534" Properties=species:S:1:pos:R:3 pbc="T T T"
Tl 0.0000 0.0000 2.5767
Tl 0.0000 2.5767 0.0000
Tl 2.5767 0.0000 0.0000
In 2.5767 2.5767 2.5767
Fe 0.0000 0.0000 0.0000
```

## Properties
VASP energy = -0.2432 Ry per atom
space-group type = Pm-3m
ΔE_f = 34 kJ per mole of atoms

Record 17
A relaxed structure of TlInFe. Source: the Alexandria database, functional PBE.

Cell and atoms, written as extended XYZ:
```
3
Lattice="0.0000 3.2442 3.2442 3.2442 0.0000 3.2442 3.2442 3.2442 0.0000" Properties=species:S:1:pos:R:3 pbc="T T T"
Tl 0.0000 0.0000 0.0000
In 3.2442 3.2442 3.2442
Fe 4.8663 4.8663 4.8663
```

## Properties
VASP energy = -0.2993 Ry per atom
space-group type = F-43m
ΔE_f = 43 kJ per mole of atoms

Record 18
A relaxed structure of TlInFe2. Source: the Alexandria database, functional PBE.

Cell and atoms, written as extended XYZ:
```
4
Lattice="4.7889 -1.4916 0.0000 4.7889 1.4916 0.0000 -3.1864 0.0000 5.9484" Properties=species:S:1:pos:R:3 pbc="T T T"
Tl 0.0000 0.0000 0.0000
In 3.1957 0.0000 2.9742
Fe 0.5314 0.0000 3.8516
Fe 5.8600 0.0000 2.0968
```

## Properties
VASP energy = -0.3712 Ry per atom
space-group type = C2/m
ΔE_f = 44 kJ per mole of atoms

Record 19
A relaxed structure of TlInFe2. Source: the Alexandria database, functional PBE.

Cell and atoms, written as extended XYZ:
```
4
Lattice="-1.5538 2.2738 5.1618 1.5538 -2.2738 5.1618 1.5538 2.2738 -5.1618" Properties=species:S:1:pos:R:3 pbc="T T T"
Tl 0.0000 0.0000 0.0000
In 0.0000 2.2738 2.2408
Fe 1.5538 0.0000 2.6713
Fe 0.0000 0.0000 4.4789
```

## Properties
VASP energy = -0.3753 Ry per atom
space-group type = Imm2
ΔE_f = 39 kJ per mole of atoms

Record 20
A relaxed structure of Tl4InFe. Source: the Alexandria database, functional PBE.

Cell and atoms, written as extended XYZ:
```
6
Lattice="0.0000 4.4665 4.4665 4.4665 0.0000 4.4665 4.4665 4.4665 0.0000" Properties=species:S:1:pos:R:3 pbc="T T T"
Tl 1.1124 1.1124 1.1124
Tl 3.3541 3.3541 1.1124
Tl 3.3541 1.1124 3.3541
Tl 1.1124 3.3541 3.3541
In 4.4665 4.4665 4.4665
Fe 6.6998 6.6998 6.6998
```

## Properties
VASP energy = -0.2054 Ry per atom
space-group type = F-43m
ΔE_f = 63 kJ per mole of atoms

Record 21
A relaxed structure of TlIn2Fe. Source: the Alexandria database, functional PBE.

Cell and atoms, written as extended XYZ:
```
4
Lattice="-1.4988 2.2811 6.8873 1.4988 -2.2811 6.8873 1.4988 2.2811 -6.8873" Properties=species:S:1:pos:R:3 pbc="T T T"
Tl 0.0000 0.0000 0.0000
In 0.0000 0.0000 4.9345
In 0.0000 2.2811 2.5286
Fe 1.4988 0.0000 2.5873
```

## Properties
VASP energy = -0.2818 Ry per atom
space-group type = Imm2
ΔE_f = 23 kJ per mole of atoms

Record 22
A relaxed structure of TlIn2Fe. Source: the Alexandria database, functional PBE.

Cell and atoms, written as extended XYZ:
```
4
Lattice="0.0000 3.6050 3.6050 3.6050 0.0000 3.6050 3.6050 3.6050 0.0000" Properties=species:S:1:pos:R:3 pbc="T T T"
Tl 0.0000 0.0000 0.0000
In 3.6050 3.6050 3.6050
In 5.4076 5.4076 5.4076
Fe 1.8025 1.8025 1.8025
```

## Properties
VASP energy = -0.2590 Ry per atom
space-group type = F-43m
ΔE_f = 53 kJ per mole of atoms

Record 23
A relaxed structure of TlInFe2. Source: the Alexandria database, functional PBE.

Cell and atoms, written as extended XYZ:
```
4
Lattice="2.9628 -4.0148 0.0000 2.9628 4.0148 0.0000 -0.0511 0.0000 2.9575" Properties=species:S:1:pos:R:3 pbc="T T T"
Tl 0.0000 0.0000 0.0000
In 2.9628 0.0000 0.0000
Fe 1.4558 2.0074 1.4787
Fe 1.4558 -2.0074 1.4787
```

## Properties
VASP energy = -0.3650 Ry per atom
space-group type = C2/m
ΔE_f = 52 kJ per mole of atoms

Record 24
A relaxed structure of TlInFe2. Source: the Alexandria database, functional PBE.

Cell and atoms, written as extended XYZ:
```
4
Lattice="2.9565 0.0000 0.0000 0.0000 2.9565 0.0000 0.0000 0.0000 8.0301" Properties=species:S:1:pos:R:3 pbc="T T T"
Tl 0.0000 0.0000 0.0000
In 0.0000 0.0000 4.0150
Fe 1.4782 1.4782 2.0668
Fe 1.4782 1.4782 5.9633
```

## Properties
VASP energy = -0.3652 Ry per atom
space-group type = P4/mmm
ΔE_f = 52 kJ per mole of atoms

Record 25
A relaxed structure of TlIn4Fe. Source: the Alexandria database, functional PBE.

Cell and atoms, written as extended XYZ:
```
6
Lattice="0.0000 4.2909 4.2909 4.2909 0.0000 4.2909 4.2909 4.2909 0.0000" Properties=species:S:1:pos:R:3 pbc="T T T"
Tl 0.0000 0.0000 0.0000
In 3.2215 3.2215 3.2215
In 5.3603 5.3603 3.2215
In 5.3603 3.2215 5.3603
In 3.2215 5.3603 5.3603
Fe 6.4364 6.4364 6.4364
```

## Properties
VASP energy = -0.2291 Ry per atom
space-group type = F-43m
ΔE_f = 50 kJ per mole of atoms

Record 26
A relaxed structure of TlIn2Fe. Source: the Alexandria database, functional PBE.

Cell and atoms, written as extended XYZ:
```
4
Lattice="-2.1958 2.1958 4.6447 2.1958 -2.1958 4.6447 2.1958 2.1958 -4.6447" Properties=species:S:1:pos:R:3 pbc="T T T"
Tl 0.0000 0.0000 0.0000
In 0.0000 0.0000 4.6447
In 0.0000 2.1958 2.3224
Fe 2.1958 0.0000 2.3224
```

## Properties
VASP energy = -0.2667 Ry per atom
space-group type = I-4m2
ΔE_f = 43 kJ per mole of atoms

Record 27
A relaxed structure of TlIn2Fe. Source: the Alexandria database, functional PBE.

Cell and atoms, written as extended XYZ:
```
4
Lattice="-2.1767 2.1767 4.7006 2.1767 -2.1767 4.7006 2.1767 2.1767 -4.7006" Properties=species:S:1:pos:R:3 pbc="T T T"
Tl 0.0000 0.0000 0.0000
In 2.1767 0.0000 2.3503
In 0.0000 2.1767 2.3503
Fe 0.0000 0.0000 4.7006
```

## Properties
VASP energy = -0.2679 Ry per atom
space-group type = I4/mmm
ΔE_f = 42 kJ per mole of atoms

Record 28
A relaxed structure of TlInFe2. Source: the Alexandria database, functional PBE.

Cell and atoms, written as extended XYZ:
```
4
Lattice="-2.0880 2.0980 4.0022 2.0880 -2.0980 4.0022 2.0880 2.0980 -4.0022" Properties=species:S:1:pos:R:3 pbc="T T T"
Tl 0.0000 0.0000 0.0000
In 0.0000 0.0000 4.0022
Fe 2.0880 0.0000 2.0014
Fe 0.0000 2.0980 2.0008
```

## Properties
VASP energy = -0.3648 Ry per atom
space-group type = Immm
ΔE_f = 52 kJ per mole of atoms